(1)
## Cs2PdI6N (PBE-GGA)

Data for crystalline Cs2PdI6N at its relaxed geometry.

SG	I4/mmm, No. 139
magnetic moment	0.0	Bohr magnetons per cell

The structure in extended XYZ format:
```
10
Lattice="7.832 0.000 0.000 0.000 7.832 0.000 3.916 3.916 5.552" Properties=species:S:1:pos:R:3 pbc="T T T"
I 5.829 2.003 0.000
I 5.829 5.829 0.000
I 3.916 3.916 2.727
I 2.003 2.003 0.000
I 2.003 5.829 0.000
I 7.832 7.832 2.825
Pd 0.000 0.000 0.000
N 3.916 3.916 0.000
Cs 3.916 7.832 2.776
Cs 7.832 3.916 2.776
```

=====

(2)
## Sr2BAsS (PBE-GGA)

Data for crystalline Sr2BAsS at its relaxed geometry.

SG	P4/mmm, No. 123
magnetic moment	0.0	Bohr magnetons per cell

The structure in extended XYZ format:
```
5
Lattice="5.684 0.000 0.000 0.000 3.956 0.000 0.000 0.000 5.684" Properties=species:S:1:pos:R:3 pbc="T T T"
As 2.842 1.978 2.842
S 0.000 0.000 0.000
B 0.000 1.978 0.000
Sr 2.842 0.000 0.000
Sr 0.000 0.000 2.842
```

=====

no.,Fermi-level density of states (states/eV/atom),uncorrected formation energy (meV/atom)
1,0.577,-235
2,0.488,-329